# NiHgBi2

A relaxed NiHgBi2 crystal (GGA-PBE, Alexandria via LeMat-Bulk).

Density of states at the Fermi level (states/eV/atom): 0.356
Energy (eV/atom): -3.396
Theoretical density (g/cm³): 10.8

Cell and atoms, written as POSCAR:
```
NiHgBi2
1.0
3.286 0.000 0.000
0.000 3.286 0.000
0.000 0.000 9.683
Ni Hg Bi
1 1 2
Direct
0.000 0.000 0.000 Ni
0.000 0.000 0.500 Hg
0.500 0.500 0.176 Bi
0.500 0.500 0.824 Bi
```